Entry 1:
A plane-wave DFT calculation with GGA-PBE was carried out for a geometry-optimized Ca8GaAu2 structure.

Geometry as POSCAR:
```
Ca8GaAu2
1.0
5.7622 0.1046 -0.9373
-1.8899 7.4306 -3.0252
0.0778 -0.0017 8.2421
Au Ca Ga
2 8 1
direct
0.4956 0.3202 0.6893
0.4956 0.6893 0.3202
0.9942 0.7697 0.2340
0.1825 0.3702 0.3702
0.4004 0.6764 0.9352
0.4004 0.9352 0.6764
0.9942 0.2340 0.7697
0.5775 0.0713 0.3303
0.8089 0.6359 0.6359
0.5775 0.3303 0.0713
0.0730 0.0014 0.0014
```

## Properties
ΔH_f (0 K), eV/atom: -0.38
Volume, Å³/cell: 355

***

Entry 2:
A plane-wave DFT calculation with GGA-PBE was carried out for a geometry-optimized LaMg2Ru structure.

Geometry as POSCAR:
```
LaMg2Ru
1.0
-1.3459 -2.8431 -0.9253
-0.6308 -0.7219 3.1356
-7.2804 3.6497 -0.6245
Mg La Ru
2 1 1
direct
0.0000 0.0000 0.0733
0.0000 0.0000 0.4267
0.5000 0.5000 0.7500
0.5000 0.5000 0.2500
```

## Properties
ΔH_f (0 K), eV/atom: 0.06
Volume, Å³/cell: 88

***

Entry 3:
A plane-wave DFT calculation with GGA-PBE was carried out for a geometry-optimized LaPr3Se6 structure.

Geometry as POSCAR:
```
LaPr3Se6
1.0
7.4101 0.1086 0.0767
3.6482 6.9669 0.0660
3.6482 2.3905 6.5443
La Pr Se
1 3 6
direct
0.5000 0.5000 0.5000
0.6901 0.7503 0.7503
0.0000 0.0000 0.0000
0.3099 0.2497 0.2497
0.6577 0.8431 0.3435
0.3423 0.6565 0.1569
0.0795 0.7520 0.7520
0.6577 0.3435 0.8431
0.9205 0.2480 0.2480
0.3423 0.1569 0.6565
```

## Properties
Energy above the lowest structure with this stoichiometry, meV/atom: 153
Volume, Å³/cell: 333
Raw formation energy, eV/atom: -1.761

***

Entry 4:
A plane-wave DFT calculation with GGA-PBE was carried out for a geometry-optimized BeNi structure.

Geometry as POSCAR:
```
BeNi
1.0
-0.8437 1.8373 -3.7936
-3.9728 -1.6393 0.0896
-1.3978 3.4972 2.0046
Be Ni
4 4
direct
0.1942 0.8058 0.0000
0.8058 0.1942 0.0000
0.6942 0.6942 0.5000
0.3058 0.3058 0.5000
0.7006 0.7006 0.0000
0.2994 0.2994 0.0000
0.2006 0.7994 0.5000
0.7994 0.2006 0.5000
```

## Properties
ΔH_f (0 K), eV/atom: 0.05
Volume, Å³/cell: 79

***

Entry 5:
A plane-wave DFT calculation with GGA-PBE was carried out for a geometry-optimized Rb2SrMnBr6 structure.

Geometry as POSCAR:
```
Rb2SrMnBr6
1.0
-0.8867 7.9162 1.0471
-6.5007 -1.3275 4.5308
-0.4136 3.0488 7.4232
Sr Br Rb Mn
1 6 2 1
direct
0.0000 0.0000 0.0000
0.2639 0.2639 0.4723
0.7361 0.7361 0.5277
0.7361 0.2639 0.0000
0.2639 0.2639 0.0000
0.2639 0.7361 0.0000
0.7361 0.7361 0.0000
0.7500 0.2500 0.5000
0.2500 0.7500 0.5000
0.5000 0.5000 0.0000
```

## Properties
Volume, Å³/cell: 367
Raw formation energy, eV/atom: -1.550